Version w
# PmBeOs

A geometry-optimized PmBeOs structure (GGA-PBE, Alexandria via LeMat-Bulk).

```
data_PmBeOs
_cell_length_a 3.9942
_cell_length_b 3.9942
_cell_length_c 4.0336
_cell_angle_alpha 90.00
_cell_angle_beta 90.00
_cell_angle_gamma 120.00
_space_group_name_H-M_alt 'P -6 m 2'
_space_group_IT_number 187
_space_group_name_Hall 'P -6 2'
loop_
_atom_site_label
_atom_site_fract_x
_atom_site_fract_y
_atom_site_fract_z
Pm1 0.0000 0.0000 0.0000
Be1 0.3333 0.6667 0.5000
Os1 0.6667 0.3333 0.5000
```

---

Version x
# PmBeOs

A geometry-optimized PmBeOs structure (GGA-PBE, Alexandria via LeMat-Bulk).

```
data_PmBeOs
_cell_length_a 3.2497
_cell_length_b 4.4370
_cell_length_c 9.3456
_cell_angle_alpha 99.82
_cell_angle_beta 90.05
_cell_angle_gamma 111.48
_space_group_name_H-M_alt 'P -1'
_space_group_IT_number 2
loop_
_space_group_symop_operation_xyz
'x,y,z'
'-x,-y,-z'
loop_
_atom_site_label
_atom_site_fract_x
_atom_site_fract_y
_atom_site_fract_z
Pm1 0.1885 0.3786 0.1879
Be1 0.0850 0.1700 0.6036
Os1 0.3675 0.7344 0.5709
```

---

The energy of each structure relative to the most stable one, in eV/atom, is as follows: version w 0.000; version x 0.027.

---

Version w
# Be3OsPt

A geometry-optimized Be3OsPt structure (GGA-PBE, Alexandria via LeMat-Bulk).

```
data_Be3OsPt
_cell_length_a 4.1092
_cell_length_b 4.1092
_cell_length_c 4.1092
_cell_angle_alpha 90.00
_cell_angle_beta 90.00
_cell_angle_gamma 90.00
_space_group_name_H-M_alt 'P m -3 m'
_space_group_IT_number 221
_space_group_name_Hall '-P 4 2 3'
loop_
_atom_site_label
_atom_site_fract_x
_atom_site_fract_y
_atom_site_fract_z
Be1 0.0000 0.0000 0.5000
Os1 0.0000 0.0000 0.0000
Pt1 0.5000 0.5000 0.5000
```

---

Version x
# Be3OsPt

A geometry-optimized Be3OsPt structure (GGA-PBE, Alexandria via LeMat-Bulk).

```
data_Be3OsPt
_cell_length_a 4.0972
_cell_length_b 4.0972
_cell_length_c 4.0972
_cell_angle_alpha 90.00
_cell_angle_beta 90.00
_cell_angle_gamma 90.00
_space_group_name_H-M_alt 'P m -3 m'
_space_group_IT_number 221
_space_group_name_Hall '-P 4 2 3'
loop_
_atom_site_label
_atom_site_fract_x
_atom_site_fract_y
_atom_site_fract_z
Be1 0.0000 0.0000 0.5000
Os1 0.5000 0.5000 0.5000
Pt1 0.0000 0.0000 0.0000
```

---

The energy of each structure relative to the most stable one, in eV/atom, is as follows: version w 0.000; version x 0.030.

---

Version w
# BeOsPt3

A geometry-optimized BeOsPt3 structure (GGA-PBE, Alexandria via LeMat-Bulk).

```
data_BeOsPt3
_cell_length_a 4.8158
_cell_length_b 4.8158
_cell_length_c 4.8158
_cell_angle_alpha 90.00
_cell_angle_beta 90.00
_cell_angle_gamma 90.00
_space_group_name_H-M_alt 'P m -3 m'
_space_group_IT_number 221
_space_group_name_Hall '-P 4 2 3'
loop_
_atom_site_label
_atom_site_fract_x
_atom_site_fract_y
_atom_site_fract_z
Be1 0.0000 0.0000 0.0000
Os1 0.5000 0.5000 0.5000
Pt1 0.0000 0.5000 0.5000
```

---

Version x
# BeOsPt3

A geometry-optimized BeOsPt3 structure (GGA-PBE, Alexandria via LeMat-Bulk).

```
data_BeOsPt3
_cell_length_a 4.1890
_cell_length_b 4.1890
_cell_length_c 4.1890
_cell_angle_alpha 90.00
_cell_angle_beta 90.00
_cell_angle_gamma 90.00
_space_group_name_H-M_alt 'P m -3 m'
_space_group_IT_number 221
_space_group_name_Hall '-P 4 2 3'
loop_
_atom_site_label
_atom_site_fract_x
_atom_site_fract_y
_atom_site_fract_z
Be1 0.0000 0.0000 0.0000
Os1 0.5000 0.5000 0.5000
Pt1 0.0000 0.0000 0.5000
```

---

The energy of each structure relative to the most stable one, in eV/atom, is as follows: version w 1.122; version x 0.000.

---

Version w
# RbBe2Os

A geometry-optimized RbBe2Os structure (GGA-PBE, Alexandria via LeMat-Bulk).

```
data_RbBe2Os
_cell_length_a 6.4312
_cell_length_b 6.4312
_cell_length_c 6.4312
_cell_angle_alpha 90.00
_cell_angle_beta 90.00
_cell_angle_gamma 90.00
_space_group_name_H-M_alt 'F m -3 m'
_space_group_IT_number 225
_space_group_name_Hall '-F 4 2 3'
loop_
_atom_site_label
_atom_site_fract_x
_atom_site_fract_y
_atom_site_fract_z
Rb1 0.0000 0.0000 0.0000
Be1 0.2500 0.2500 0.2500
Os1 0.0000 0.0000 0.5000
```

---

Version x
# RbBe2Os

A geometry-optimized RbBe2Os structure (GGA-PBE, Alexandria via LeMat-Bulk).

```
data_RbBe2Os
_cell_length_a 6.0345
_cell_length_b 6.0345
_cell_length_c 12.0504
_cell_angle_alpha 90.00
_cell_angle_beta 90.00
_cell_angle_gamma 90.00
_space_group_name_H-M_alt 'I 41/a m d'
_space_group_IT_number 141
loop_
_space_group_symop_operation_xyz
'x,y,z'
'-x,-y,-z'
'-y+1/4,x+3/4,z+1/4'
'y+1/4,-x+3/4,-z+1/4'
'-x+1/2,-y,z+1/2'
'x+1/2,y,-z+1/2'
'y+1/4,-x+1/4,z+3/4'
'-y+1/4,x+1/4,-z+3/4'
'x,-y,-z'
'-x,y,z'
'-y+1/4,-x+1/4,-z+3/4'
'y+1/4,x+1/4,z+3/4'
'-x+1/2,y,-z+1/2'
'x+1/2,-y,z+1/2'
'y+1/4,x+3/4,-z+1/4'
'-y+1/4,-x+3/4,z+1/4'
'x+1/2,y+1/2,z+1/2'
'-x+1/2,-y+1/2,-z+1/2'
'-y+3/4,x+1/4,z+3/4'
'y+3/4,-x+1/4,-z+3/4'
'-x,-y+1/2,z'
'x,y+1/2,-z'
'y+3/4,-x+3/4,z+1/4'
'-y+3/4,x+3/4,-z+1/4'
'x+1/2,-y+1/2,-z+1/2'
'-x+1/2,y+1/2,z+1/2'
'-y+3/4,-x+3/4,-z+1/4'
'y+3/4,x+3/4,z+1/4'
'-x,y+1/2,-z'
'x,-y+1/2,z'
'y+3/4,x+1/4,-z+3/4'
'-y+3/4,-x+1/4,z+3/4'
loop_
_atom_site_label
_atom_site_fract_x
_atom_site_fract_y
_atom_site_fract_z
Rb1 0.0000 0.2500 0.3750
Be1 0.0000 0.0000 0.0000
Os1 0.0000 0.2500 0.8750
```

---

The energy of each structure relative to the most stable one, in eV/atom, is as follows: version w 0.689; version x 0.000.

---

Version w
# Be3ReOs

A geometry-optimized Be3ReOs structure (GGA-PBE, Alexandria via LeMat-Bulk).

```
data_Be3ReOs
_cell_length_a 4.0540
_cell_length_b 4.0540
_cell_length_c 4.0540
_cell_angle_alpha 90.00
_cell_angle_beta 90.00
_cell_angle_gamma 90.00
_space_group_name_H-M_alt 'P m -3 m'
_space_group_IT_number 221
_space_group_name_Hall '-P 4 2 3'
loop_
_atom_site_label
_atom_site_fract_x
_atom_site_fract_y
_atom_site_fract_z
Be1 0.0000 0.0000 0.5000
Re1 0.0000 0.0000 0.0000
Os1 0.5000 0.5000 0.5000
```

---

Version x
# Be3ReOs

A geometry-optimized Be3ReOs structure (GGA-PBE, Alexandria via LeMat-Bulk).

```
data_Be3ReOs
_cell_length_a 4.0531
_cell_length_b 4.0531
_cell_length_c 4.0531
_cell_angle_alpha 90.00
_cell_angle_beta 90.00
_cell_angle_gamma 90.00
_space_group_name_H-M_alt 'P m -3 m'
_space_group_IT_number 221
_space_group_name_Hall '-P 4 2 3'
loop_
_atom_site_label
_atom_site_fract_x
_atom_site_fract_y
_atom_site_fract_z
Be1 0.0000 0.0000 0.5000
Re1 0.5000 0.5000 0.5000
Os1 0.0000 0.0000 0.0000
```

---

The energy of each structure relative to the most stable one, in eV/atom, is as follows: version w 0.327; version x 0.000.

---

Version w
# Be2ReTeOs

A geometry-optimized Be2ReTeOs structure (GGA-PBE, Alexandria via LeMat-Bulk).

```
data_Be2ReTeOs
_cell_length_a 4.3269
_cell_length_b 4.3269
_cell_length_c 4.8019
_cell_angle_alpha 90.00
_cell_angle_beta 90.00
_cell_angle_gamma 90.00
_space_group_name_H-M_alt 'P 4/m m m'
_space_group_IT_number 123
_space_group_name_Hall '-P 4 2'
loop_
_atom_site_label
_atom_site_fract_x
_atom_site_fract_y
_atom_site_fract_z
Be1 0.0000 0.5000 0.0000
Re1 0.0000 0.0000 0.0000
Te1 0.5000 0.5000 0.5000
Os1 0.0000 0.0000 0.5000
```

---

Version x
# Be2ReTeOs

A geometry-optimized Be2ReTeOs structure (GGA-PBE, Alexandria via LeMat-Bulk).

```
data_Be2ReTeOs
_cell_length_a 4.2250
_cell_length_b 4.2250
_cell_length_c 4.9865
_cell_angle_alpha 90.00
_cell_angle_beta 90.00
_cell_angle_gamma 90.00
_space_group_name_H-M_alt 'P 4/m m m'
_space_group_IT_number 123
_space_group_name_Hall '-P 4 2'
loop_
_atom_site_label
_atom_site_fract_x
_atom_site_fract_y
_atom_site_fract_z
Be1 0.0000 0.5000 0.0000
Re1 0.0000 0.0000 0.0000
Te1 0.0000 0.0000 0.5000
Os1 0.5000 0.5000 0.5000
```

---

The energy of each structure relative to the most stable one, in eV/atom, is as follows: version w 0.000; version x 0.377.